A plane-wave DFT calculation with PBE with a Hubbard U was carried out for an optimized crystal structure of Al2CoO4.

abc: 5.787 5.787 5.787
angles: 60.00 60.00 60.00
Sites, in units of the cell vectors:
Al (0.000, 0.000, 0.000)
Al (0.000, 0.000, 0.500)
Al (0.000, 0.500, 0.000)
Al (0.500, 0.000, 0.000)
Co (0.375, 0.375, 0.375)
Co (0.625, 0.625, 0.625)
O (0.207, 0.764, 0.764)
O (0.236, 0.236, 0.236)
O (0.236, 0.236, 0.793)
O (0.236, 0.793, 0.236)
O (0.764, 0.207, 0.764)
O (0.764, 0.764, 0.207)
O (0.764, 0.764, 0.764)
O (0.793, 0.236, 0.236)

## Properties
VASP energy	-49.90	eV/f.u.
ρ	4.29	g/cm³
magnetic moment	6.00	μB/cell